Entry 1:
# PBE TmThPa4, optimized geometry
data_TmThPa4
_symmetry_space_group_name_H-M 'P 1'
_symmetry_Int_Tables_number 1
_symmetry_space_group_name_Hall 'P 1'
_cell_length_a 6.122
_cell_length_b 6.122
_cell_length_c 6.122
_cell_angle_alpha 60.00
_cell_angle_beta 60.00
_cell_angle_gamma 60.00
loop_
_atom_site_label
_atom_site_fract_x
_atom_site_fract_y
_atom_site_fract_z
_atom_site_occupancy
Tm1 0.000 0.000 0.000 1
Th1 0.250 0.250 0.250 1
Pa1 0.125 0.625 0.625 1
Pa2 0.625 0.125 0.625 1
Pa3 0.625 0.625 0.125 1
Pa4 0.625 0.625 0.625 1
# Crystal system: cubic
# Energy, eV for the cell shown: -48.9
# Size of the total moment, μB/cell: 0.00

Entry 2:
# PBE CeSm2Au4, optimized geometry
data_CeSm2Au4
_symmetry_space_group_name_H-M 'P 1'
_symmetry_Int_Tables_number 1
_symmetry_space_group_name_Hall 'P 1'
_cell_length_a 7.282
_cell_length_b 7.282
_cell_length_c 7.063
_cell_angle_alpha 90.00
_cell_angle_beta 90.00
_cell_angle_gamma 90.00
loop_
_atom_site_label
_atom_site_fract_x
_atom_site_fract_y
_atom_site_fract_z
_atom_site_occupancy
Ce1 0.000 0.000 0.000 1
Ce2 0.500 0.500 0.500 1
Sm1 0.000 0.500 0.000 1
Sm2 0.000 0.500 0.500 1
Sm3 0.500 0.000 0.000 1
Sm4 0.500 0.000 0.500 1
Au1 0.250 0.250 0.250 1
Au2 0.250 0.250 0.750 1
Au3 0.250 0.750 0.250 1
Au4 0.250 0.750 0.750 1
Au5 0.750 0.250 0.250 1
Au6 0.750 0.250 0.750 1
Au7 0.750 0.750 0.250 1
Au8 0.750 0.750 0.750 1
# Crystal system: tetragonal
# Energy, eV for the cell shown: -64.9
# Size of the total moment, μB/cell: 1.94

Entry 3:
# PBE La3Er, optimized geometry
data_La3Er
_symmetry_space_group_name_H-M 'P 1'
_symmetry_Int_Tables_number 1
_symmetry_space_group_name_Hall 'P 1'
_cell_length_a 5.191
_cell_length_b 5.191
_cell_length_c 10.439
_cell_angle_alpha 90.00
_cell_angle_beta 90.00
_cell_angle_gamma 90.00
loop_
_atom_site_label
_atom_site_fract_x
_atom_site_fract_y
_atom_site_fract_z
_atom_site_occupancy
La1 0.000 0.000 0.000 1
La2 0.000 0.500 0.250 1
La3 0.000 0.500 0.750 1
La4 0.500 0.000 0.250 1
La5 0.500 0.000 0.750 1
La6 0.500 0.500 0.500 1
Er1 0.000 0.000 0.500 1
Er2 0.500 0.500 0.000 1
# Crystal system: tetragonal
# Size of the total moment, μB/cell: 0.00
# Energy above the lowest structure with this stoichiometry, meV/atom: 14